# V5Mo6W | Alexandria via LeMat-Bulk | PBE | optimized geometry
# Spin magnetization   0.00 μB/cell
# Density of states at the Fermi level   7.34 states/eV/f.u.
# V   14.80 Å³ per atom
# DFT formation energy   -3.04 kcal/mol of atoms
data_V5Mo6W
_chemical_formula_sum 'V10 Mo12 W2'
_symmetry_space_group_name_H-M 'I m m m'
_symmetry_Int_Tables_number 71
_symmetry_space_group_name_Hall '-I 2 2'
_cell_length_a 4.372
_cell_length_b 6.178
_cell_length_c 13.150
_cell_angle_alpha 90.00
_cell_angle_beta 90.00
_cell_angle_gamma 90.00
loop_
_atom_site_label
_atom_site_type_symbol
_atom_site_fract_x
_atom_site_fract_y
_atom_site_fract_z
_atom_site_occupancy
V1 V 0.000 0.000 0.000 1
V2 V 0.000 0.000 0.333 1
V3 V 0.000 0.500 0.333 1
Mo1 Mo 0.000 0.248 0.168 1
Mo2 Mo 0.000 0.254 0.500 1
W1 W 0.000 0.500 0.000 1